Entry 1:
! Cs2ZnSe2 (GGA-PBE, optimized geometry); values from VASP
! DOS(E_F) ... 0.0 states/eV/f.u.
! Raw formation energy ... -5.059 eV/f.u.
! Spin magnetization ... 0.00 μB/f.u.
! Density ... 3.50 g/cm³
! Volume ... 464.5 Å³ per cell
&SYSTEM
  ibrav = 0, nat = 10, ntyp = 3
/
ATOMIC_SPECIES
Cs 132.91 Cs.upf
Zn 65.41 Zn.upf
Se 78.96 Se.upf
CELL_PARAMETERS angstrom
7.757 -3.571 0.000
7.757 3.571 0.000
-7.730 0.000 8.386
ATOMIC_POSITIONS angstrom
Cs -0.903 0.000 2.669
Cs -2.295 0.000 8.060
Cs 10.079 0.000 0.326
Cs 8.687 0.000 5.716
Zn 3.204 0.000 2.864
Zn 4.581 0.000 5.522
Se 2.091 0.000 0.800
Se 2.152 0.000 5.081
Se 5.633 0.000 3.304
Se 5.693 0.000 7.585



Entry 2:
! Cs2ZnSe2 (GGA-PBE, optimized geometry); values from VASP
! DOS(E_F) ... 2.0 states/eV/f.u.
! Raw formation energy ... -2.720 eV/f.u.
! Spin magnetization ... 0.00 μB/f.u.
! Density ... 4.69 g/cm³
! Volume ... 346.7 Å³ per cell
&SYSTEM
  ibrav = 0, nat = 10, ntyp = 3
/
ATOMIC_SPECIES
Cs 132.91 Cs.upf
Zn 65.41 Zn.upf
Se 78.96 Se.upf
CELL_PARAMETERS angstrom
7.787 0.000 0.000
0.000 7.787 0.000
0.000 0.000 5.718
ATOMIC_POSITIONS angstrom
Cs 1.214 2.680 0.000
Cs 2.680 6.573 0.000
Cs 5.107 1.214 0.000
Cs 6.573 5.107 0.000
Zn 0.000 0.000 2.859
Zn 3.893 3.893 2.859
Se 1.386 5.279 2.859
Se 2.507 1.386 2.859
Se 5.279 6.401 2.859
Se 6.401 2.507 2.859